Below is MgPaMn2O8 after structural relaxation, with properties calculated at the GGA+U level.

Calculated values
DFT total energy in eV/atom: -7.4328

Cell lengths 5.837, 5.837, 5.837 Å; angles 107.68, 107.68, 113.12 degrees
Last column: magnetic moment on the atom in μB.
Positions (direct):
O (0.945, 0.259, 0.314)  -0.06
O (0.369, 0.055, 0.314)  -0.06
O (0.866, 0.680, 0.185)  -0.04
O (0.495, 0.680, 0.815)  -0.04
O (0.320, 0.505, 0.185)  -0.04
O (0.945, 0.631, 0.686)  -0.06
O (0.741, 0.055, 0.686)  -0.06
O (0.320, 0.134, 0.815)  -0.04
Pa (0.000, 0.000, 0.000)  0.10
Mn (0.500, 0.500, 0.000)  2.14
Mn (0.750, 0.250, 0.500)  3.02
Mg (0.250, 0.750, 0.500)  0.01